## Na2NiIr2S6 (GGA-PBE)

Data for a relaxed structure of Na2NiIr2S6.

Results
Energy relative to the elements, uncorrected   -568.3 meV/atom
Spin magnetization   0.00 μB/f.u.
Total energy   -5.196 eV per atom

Structure (CIF):
```
data_Na2NiIr2S6
_symmetry_space_group_name_H-M 'C 1 2/m 1'
_symmetry_Int_Tables_number 12
_symmetry_space_group_name_Hall '-C 2y'
_cell_length_a 6.1801
_cell_length_b 10.7201
_cell_length_c 6.7593
_cell_angle_alpha 90.00
_cell_angle_beta 107.98
_cell_angle_gamma 90.00
loop_
_atom_site_label
_atom_site_type_symbol
_atom_site_fract_x
_atom_site_fract_y
_atom_site_fract_z
Na1 Na 0.0000 0.1662 0.0000
Ni1 Ni 0.0000 0.0000 0.5000
Ir1 Ir 0.0000 0.3325 0.5000
S1 S 0.2239 0.1629 0.6810
S2 S 0.2373 0.5000 0.6804
```

## Na3NiIr3Se8 (GGA-PBE)

Data for a relaxed structure of Na3NiIr3Se8.

Results
Energy relative to the elements, uncorrected   -516.5 meV/atom
Spin magnetization   0.00 μB/f.u.
Total energy   -4.796 eV per atom

Structure (CIF):
```
data_Na3NiIr3Se8
_symmetry_space_group_name_H-M 'R -3 m'
_symmetry_Int_Tables_number 166
_symmetry_space_group_name_Hall '-R 3 2"'
_cell_length_a 7.5510
_cell_length_b 7.5510
_cell_length_c 20.2851
_cell_angle_alpha 90.00
_cell_angle_beta 90.00
_cell_angle_gamma 120.00
loop_
_atom_site_label
_atom_site_type_symbol
_atom_site_fract_x
_atom_site_fract_y
_atom_site_fract_z
Na1 Na 0.0000 0.5000 0.0000
Ni1 Ni 0.0000 0.0000 0.5000
Ir1 Ir 0.0000 0.5000 0.5000
Se1 Se 0.0000 0.0000 0.2290
Se2 Se 0.0071 0.5036 0.2270
```

## Na4NiIr3Se8 (GGA-PBE)

Data for a relaxed structure of Na4NiIr3Se8.

Results
Energy relative to the elements, uncorrected   -564.2 meV/atom
Spin magnetization   0.00 μB/f.u.
Total energy   -4.659 eV per atom

Structure (CIF):
```
data_Na4NiIr3Se8
_symmetry_space_group_name_H-M 'C 1 2/m 1'
_symmetry_Int_Tables_number 12
_symmetry_space_group_name_Hall '-C 2y'
_cell_length_a 13.2186
_cell_length_b 7.6309
_cell_length_c 7.9607
_cell_angle_alpha 90.00
_cell_angle_beta 123.60
_cell_angle_gamma 90.00
loop_
_atom_site_label
_atom_site_type_symbol
_atom_site_fract_x
_atom_site_fract_y
_atom_site_fract_z
Na1 Na 0.0000 0.0000 0.0000
Na2 Na 0.0000 0.5000 0.0000
Na3 Na 0.2500 0.2500 0.0000
Ni1 Ni 0.0000 0.0000 0.5000
Ir1 Ir 0.0000 0.5000 0.5000
Ir2 Ir 0.2500 0.2500 0.5000
Se1 Se 0.0210 0.2475 0.3149
Se2 Se 0.2283 0.0000 0.6865
Se3 Se 0.2288 0.5000 0.6871
```

## Na2Si4NiIr3 (GGA-PBE)

Data for a relaxed structure of Na2Si4NiIr3.

Results
Energy relative to the elements, uncorrected   -500.4 meV/atom
Spin magnetization   0.00 μB/f.u.
Total energy   -6.170 eV per atom

Structure (CIF):
```
data_Na2Si4NiIr3
_symmetry_space_group_name_H-M 'P -4 m 2'
_symmetry_Int_Tables_number 115
_symmetry_space_group_name_Hall 'P -4 -2'
_cell_length_a 3.9862
_cell_length_b 3.9862
_cell_length_c 10.1553
_cell_angle_alpha 90.00
_cell_angle_beta 90.00
_cell_angle_gamma 90.00
loop_
_atom_site_label
_atom_site_type_symbol
_atom_site_fract_x
_atom_site_fract_y
_atom_site_fract_z
Na1 Na 0.0000 0.5000 0.2439
Si1 Si 0.0000 0.0000 0.5000
Si2 Si 0.0000 0.5000 0.8739
Si3 Si 0.5000 0.5000 0.5000
Ni1 Ni 0.5000 0.5000 0.0000
Ir1 Ir 0.0000 0.0000 0.0000
Ir2 Ir 0.0000 0.5000 0.6342
```